No. 1
VASP calculation (GGA-PBE) on a relaxed Pm6SbIr3 crystal.

It has space group P2_1/m (No. 11), with a = 11.793 Å, b = 4.251 Å, c = 12.100 Å, α = 90.00°, β = 107.42° and γ = 90.00°. Symmetry generates all atoms from Pm at (0.029, 0.250, 0.393), Pm at (0.107, 0.250, 0.948), Pm at (0.211, 0.750, 0.267), Pm at (0.289, 0.750, 0.767), Pm at (0.360, 0.250, 0.539), Pm at (0.424, 0.750, 0.092), Sb at (0.445, 0.250, 0.309), Ir at (0.048, 0.250, 0.166), Ir at (0.183, 0.750, 0.505) and Ir at (0.343, 0.250, 0.924).

The value obtained for the total magnetization is 0.0 μB/f.u. Its total energy is -66.215 eV/f.u. As for the formation energy (no corrections): -0.7006 eV per atom.

No. 2
VASP calculation (GGA-PBE) on a relaxed TaFeGeTe2Pd crystal.

It has space group P1 (No. 1), with a = 3.114 Å, b = 6.418 Å, c = 6.480 Å, α = 89.85°, β = 76.21° and γ = 76.43°. Symmetry generates all atoms from Ta at (0.000, 0.000, 0.000), Fe at (0.466, 0.833, 0.228), Ge at (0.161, 0.551, 0.108), Te at (0.176, 0.206, 0.408), Te at (0.332, 0.713, 0.637) and Pd at (0.459, 0.293, 0.796).

As for the energy above the most stable polymorph in this dataset: 262 meV/atom. The value obtained for the total magnetization is 0.0 μB/f.u. Its total energy is -36.510 eV/f.u. As for the formation energy (no corrections): -0.0169 eV per atom.

No. 3
VASP calculation (GGA-PBE) on a relaxed Y2ZnGeO6 crystal.

It has space group P4mm (No. 99), with a = 5.178 Å, b = 5.178 Å, c = 4.861 Å, α = 90.00°, β = 90.00° and γ = 90.00°. Symmetry generates all atoms from Y at (0.000, 0.500, 0.000), Zn at (0.000, 0.000, 0.553), Ge at (0.500, 0.500, 0.594), O at (0.000, 0.000, 0.157), O at (0.260, 0.260, 0.724) and O at (0.500, 0.500, 0.224).

The value obtained for the total magnetization is 0.0 μB/f.u. Its total energy is -72.678 eV/f.u. As for the formation energy (no corrections): -2.4109 eV per atom.

No. 4
VASP calculation (GGA-PBE) on a relaxed GaBSe2 crystal.

It has space group R3m (No. 160, hexagonal axes), with a = 3.5024 Å, b = 3.5024 Å, c = 25.1193 Å, α = 90.00°, β = 90.00° and γ = 120.00°. Symmetry generates all atoms from Ga at (0.0000, 0.0000, 0.0000), B at (0.0000, 0.0000, 0.0831), Se at (0.0000, 0.0000, 0.6144) and Se at (0.0000, 0.0000, 0.7851).

As for the energy above the most stable polymorph in this dataset: 44 meV/atom. The value obtained for the total magnetization is 0.0 μB/f.u. Its total energy is -17.384 eV/f.u. As for the formation energy (no corrections): -0.1777 eV per atom.

No. 5
VASP calculation (GGA-PBE) on a relaxed CaMgSi crystal.

It has space group P3m1 (No. 156), with a = 3.5081 Å, b = 3.5081 Å, c = 7.1328 Å, α = 90.00°, β = 90.00° and γ = 120.00°. Symmetry generates all atoms from Ca at (0.0000, 0.0000, 0.0000), Mg at (0.6667, 0.3333, 0.4081) and Si at (0.3333, 0.6667, 0.6835).

The value obtained for the total magnetization is 0.0 μB/f.u. Its total energy is -8.673 eV/f.u. As for the formation energy (no corrections): 0.1154 eV per atom.

No. 6
VASP calculation (GGA-PBE) on a relaxed Sm3Ho4Tm3 crystal.

It has space group Amm2 (No. 38), with a = 3.667 Å, b = 13.165 Å, c = 13.222 Å, α = 90.00°, β = 90.00° and γ = 90.00°. Symmetry generates all atoms from Sm at (0.000, 0.000, 0.000), Sm at (0.000, 0.173, 0.672), Ho at (0.500, 0.000, 0.545), Ho at (0.500, 0.000, 0.799), Ho at (0.500, 0.126, 0.175), Tm at (0.000, 0.000, 0.346) and Tm at (0.500, 0.247, 0.421).

The value obtained for the total magnetization is 0.0 μB/f.u. Its total energy is -44.872 eV/f.u.